a.
# CaTcOs2 (GGA-PBE, optimized geometry)
# Crystal system = tetragonal
data_CaTcOs2
_space_group_name_H-M_alt 'P 4/m m m'
_space_group_IT_number 123
_space_group_name_Hall '-P 4 2'
_cell_length_a 2.842
_cell_length_b 2.842
_cell_length_c 8.342
_cell_angle_alpha 90.00
_cell_angle_beta 90.00
_cell_angle_gamma 90.00
loop_
_atom_site_label
_atom_site_fract_x
_atom_site_fract_y
_atom_site_fract_z
Ca1 0.000 0.000 0.000
Tc1 0.000 0.000 0.500
Os1 0.500 0.500 0.288

***

b.
# CaTcOs2 (GGA-PBE, optimized geometry)
# Crystal system = cubic
data_CaTcOs2
_space_group_name_H-M_alt 'F -4 3 m'
_space_group_IT_number 216
_space_group_name_Hall 'F -4 2 3'
_cell_length_a 6.362
_cell_length_b 6.362
_cell_length_c 6.362
_cell_angle_alpha 90.00
_cell_angle_beta 90.00
_cell_angle_gamma 90.00
loop_
_atom_site_label
_atom_site_fract_x
_atom_site_fract_y
_atom_site_fract_z
Ca1 0.000 0.000 0.000
Tc1 0.250 0.250 0.750
Os1 0.000 0.000 0.500
Os2 0.250 0.250 0.250

***

c.
# CaTcOs2 (GGA-PBE, optimized geometry)
# Crystal system = monoclinic
data_CaTcOs2
_space_group_name_H-M_alt 'P 1 m 1'
_space_group_IT_number 6
_space_group_name_Hall 'P -2y'
_cell_length_a 2.865
_cell_length_b 4.277
_cell_length_c 5.830
_cell_angle_alpha 90.00
_cell_angle_beta 104.06
_cell_angle_gamma 90.00
loop_
_atom_site_label
_atom_site_fract_x
_atom_site_fract_y
_atom_site_fract_z
Ca1 0.000 0.000 0.000
Tc1 0.359 0.500 0.720
Os1 0.252 0.000 0.501
Os2 0.661 0.500 0.318

***

Order of stability, best first: a, c, b

***

a.
# CaTcOs2 (GGA-PBE, optimized geometry)
# Crystal system = orthorhombic
data_CaTcOs2
_space_group_name_H-M_alt 'I m m m'
_space_group_IT_number 71
_space_group_name_Hall '-I 2 2'
_cell_length_a 2.844
_cell_length_b 4.732
_cell_length_c 9.951
_cell_angle_alpha 90.00
_cell_angle_beta 90.00
_cell_angle_gamma 90.00
loop_
_atom_site_label
_atom_site_fract_x
_atom_site_fract_y
_atom_site_fract_z
Ca1 0.000 0.000 0.000
Tc1 0.000 0.000 0.500
Os1 0.000 0.500 0.220

***

b.
# CaTcOs2 (GGA-PBE, optimized geometry)
# Crystal system = orthorhombic
data_CaTcOs2
_space_group_name_H-M_alt 'I m m 2'
_space_group_IT_number 44
_space_group_name_Hall 'I 2 -2'
_cell_length_a 2.830
_cell_length_b 4.740
_cell_length_c 10.186
_cell_angle_alpha 90.00
_cell_angle_beta 90.00
_cell_angle_gamma 90.00
loop_
_atom_site_label
_atom_site_fract_x
_atom_site_fract_y
_atom_site_fract_z
Ca1 0.000 0.000 0.000
Tc1 0.000 0.500 0.214
Os1 0.000 0.000 0.497
Os2 0.000 0.500 0.783

***

c.
# CaTcOs2 (GGA-PBE, optimized geometry)
# Crystal system = cubic
data_CaTcOs2
_space_group_name_H-M_alt 'F m -3 m'
_space_group_IT_number 225
_space_group_name_Hall '-F 4 2 3'
_cell_length_a 6.377
_cell_length_b 6.377
_cell_length_c 6.377
_cell_angle_alpha 90.00
_cell_angle_beta 90.00
_cell_angle_gamma 90.00
loop_
_atom_site_label
_atom_site_fract_x
_atom_site_fract_y
_atom_site_fract_z
Ca1 0.000 0.000 0.000
Tc1 0.000 0.000 0.500
Os1 0.250 0.250 0.250

***

d.
# CaTcOs2 (GGA-PBE, optimized geometry)
# Crystal system = orthorhombic
data_CaTcOs2
_space_group_name_H-M_alt 'C m m m'
_space_group_IT_number 65
_space_group_name_Hall '-C 2 2'
_cell_length_a 3.021
_cell_length_b 4.617
_cell_length_c 9.345
_cell_angle_alpha 90.00
_cell_angle_beta 90.00
_cell_angle_gamma 90.00
loop_
_atom_site_label
_atom_site_fract_x
_atom_site_fract_y
_atom_site_fract_z
Ca1 0.000 0.000 0.000
Tc1 0.000 0.000 0.500
Os1 0.000 0.500 0.268

***

Order of stability, best first: b, a, d, c

***

a.
# CaTcOs2 (GGA-PBE, optimized geometry)
# Crystal system = tetragonal
data_CaTcOs2
_space_group_name_H-M_alt 'P 4 m m'
_space_group_IT_number 99
_space_group_name_Hall 'P 4 -2'
_cell_length_a 2.790
_cell_length_b 2.790
_cell_length_c 8.713
_cell_angle_alpha 90.00
_cell_angle_beta 90.00
_cell_angle_gamma 90.00
loop_
_atom_site_label
_atom_site_fract_x
_atom_site_fract_y
_atom_site_fract_z
Ca1 0.000 0.000 0.000
Tc1 0.500 0.500 0.705
Os1 0.000 0.000 0.478
Os2 0.500 0.500 0.280

***

b.
# CaTcOs2 (GGA-PBE, optimized geometry)
# Crystal system = tetragonal
data_CaTcOs2
_space_group_name_H-M_alt 'P 4/m m m'
_space_group_IT_number 123
_space_group_name_Hall '-P 4 2'
_cell_length_a 4.632
_cell_length_b 4.632
_cell_length_c 3.028
_cell_angle_alpha 90.00
_cell_angle_beta 90.00
_cell_angle_gamma 90.00
loop_
_atom_site_label
_atom_site_fract_x
_atom_site_fract_y
_atom_site_fract_z
Ca1 0.000 0.000 0.000
Tc1 0.500 0.500 0.000
Os1 0.000 0.500 0.500

***

Order of stability, best first: a, b

***

a.
# CaTcOs2 (GGA-PBE, optimized geometry)
# Crystal system = trigonal
data_CaTcOs2
_space_group_name_H-M_alt 'R -3 m'
_space_group_IT_number 166
_space_group_name_Hall '-R 3 2"'
_cell_length_a 2.8264
_cell_length_b 2.8264
_cell_length_c 28.2738
_cell_angle_alpha 90.00
_cell_angle_beta 90.00
_cell_angle_gamma 120.00
loop_
_atom_site_label
_atom_site_fract_x
_atom_site_fract_y
_atom_site_fract_z
Ca1 0.0000 0.0000 0.0000
Tc1 0.0000 0.0000 0.5000
Os1 0.0000 0.0000 0.2419

***

b.
# CaTcOs2 (GGA-PBE, optimized geometry)
# Crystal system = monoclinic
data_CaTcOs2
_space_group_name_H-M_alt 'P 1 2/m 1'
_space_group_IT_number 10
_space_group_name_Hall '-P 2y'
_cell_length_a 2.797
_cell_length_b 4.371
_cell_length_c 5.726
_cell_angle_alpha 90.00
_cell_angle_beta 103.85
_cell_angle_gamma 90.00
loop_
_atom_site_label
_atom_site_fract_x
_atom_site_fract_y
_atom_site_fract_z
Ca1 0.000 0.000 0.000
Tc1 0.500 0.000 0.500
Os1 0.321 0.500 0.711

***

Order of stability, best first: a, b

***

a.
# CaTcOs2 (GGA-PBE, optimized geometry)
# Crystal system = monoclinic
data_CaTcOs2
_space_group_name_H-M_alt 'C 1 2/m 1'
_space_group_IT_number 12
_space_group_name_Hall '-C 2y'
_cell_length_a 9.808
_cell_length_b 2.813
_cell_length_c 5.131
_cell_angle_alpha 90.00
_cell_angle_beta 103.70
_cell_angle_gamma 90.00
loop_
_atom_site_label
_atom_site_fract_x
_atom_site_fract_y
_atom_site_fract_z
Ca1 0.000 0.000 0.000
Tc1 0.000 0.500 0.500
Os1 0.226 0.000 0.697

***

b.
# CaTcOs2 (GGA-PBE, optimized geometry)
# Crystal system = orthorhombic
data_CaTcOs2
_space_group_name_H-M_alt 'P m m 2'
_space_group_IT_number 25
_space_group_name_Hall 'P 2 -2'
_cell_length_a 2.810
_cell_length_b 3.753
_cell_length_c 6.754
_cell_angle_alpha 90.00
_cell_angle_beta 90.00
_cell_angle_gamma 90.00
loop_
_atom_site_label
_atom_site_fract_x
_atom_site_fract_y
_atom_site_fract_z
Ca1 0.000 0.000 0.000
Tc1 0.500 0.500 0.685
Os1 0.000 0.000 0.491
Os2 0.500 0.500 0.305

***

Order of stability, best first: b, a

***

a.
# CaTc2Os (GGA-PBE, optimized geometry)
# Crystal system = cubic
data_CaTc2Os
_space_group_name_H-M_alt 'F -4 3 m'
_space_group_IT_number 216
_space_group_name_Hall 'F -4 2 3'
_cell_length_a 6.372
_cell_length_b 6.372
_cell_length_c 6.372
_cell_angle_alpha 90.00
_cell_angle_beta 90.00
_cell_angle_gamma 90.00
loop_
_atom_site_label
_atom_site_fract_x
_atom_site_fract_y
_atom_site_fract_z
Ca1 0.000 0.000 0.000
Tc1 0.000 0.000 0.500
Tc2 0.250 0.250 0.750
Os1 0.250 0.250 0.250

***

b.
# CaTc2Os (GGA-PBE, optimized geometry)
# Crystal system = tetragonal
data_CaTc2Os
_space_group_name_H-M_alt 'P 4/m m m'
_space_group_IT_number 123
_space_group_name_Hall '-P 4 2'
_cell_length_a 4.681
_cell_length_b 4.681
_cell_length_c 2.962
_cell_angle_alpha 90.00
_cell_angle_beta 90.00
_cell_angle_gamma 90.00
loop_
_atom_site_label
_atom_site_fract_x
_atom_site_fract_y
_atom_site_fract_z
Ca1 0.000 0.000 0.000
Tc1 0.000 0.500 0.500
Os1 0.500 0.500 0.000

***

c.
# CaTc2Os (GGA-PBE, optimized geometry)
# Crystal system = tetragonal
data_CaTc2Os
_space_group_name_H-M_alt 'P 4/m m m'
_space_group_IT_number 123
_space_group_name_Hall '-P 4 2'
_cell_length_a 2.794
_cell_length_b 2.794
_cell_length_c 8.771
_cell_angle_alpha 90.00
_cell_angle_beta 90.00
_cell_angle_gamma 90.00
loop_
_atom_site_label
_atom_site_fract_x
_atom_site_fract_y
_atom_site_fract_z
Ca1 0.000 0.000 0.000
Tc1 0.500 0.500 0.290
Os1 0.000 0.000 0.500

***

d.
# CaTc2Os (GGA-PBE, optimized geometry)
# Crystal system = monoclinic
data_CaTc2Os
_space_group_name_H-M_alt 'P 1 m 1'
_space_group_IT_number 6
_space_group_name_Hall 'P -2y'
_cell_length_a 2.863
_cell_length_b 4.218
_cell_length_c 6.023
_cell_angle_alpha 90.00
_cell_angle_beta 103.62
_cell_angle_gamma 90.00
loop_
_atom_site_label
_atom_site_fract_x
_atom_site_fract_y
_atom_site_fract_z
Ca1 0.000 0.000 0.000
Tc1 0.249 0.000 0.498
Tc2 0.355 0.500 0.709
Os1 0.661 0.500 0.319

***

Order of stability, best first: c, d, a, b

***

a.
# CaTc2Os (GGA-PBE, optimized geometry)
# Crystal system = orthorhombic
data_CaTc2Os
_space_group_name_H-M_alt 'P m m m'
_space_group_IT_number 47
_space_group_name_Hall '-P 2 2'
_cell_length_a 3.074
_cell_length_b 4.590
_cell_length_c 4.621
_cell_angle_alpha 90.00
_cell_angle_beta 90.00
_cell_angle_gamma 90.00
loop_
_atom_site_label
_atom_site_fract_x
_atom_site_fract_y
_atom_site_fract_z
Ca1 0.000 0.000 0.000
Tc1 0.000 0.500 0.500
Tc2 0.500 0.000 0.500
Os1 0.500 0.500 0.000

***

b.
# CaTc2Os (GGA-PBE, optimized geometry)
# Crystal system = orthorhombic
data_CaTc2Os
_space_group_name_H-M_alt 'C m m 2'
_space_group_IT_number 35
_space_group_name_Hall 'C 2 -2'
_cell_length_a 3.049
_cell_length_b 4.610
_cell_length_c 9.392
_cell_angle_alpha 90.00
_cell_angle_beta 90.00
_cell_angle_gamma 90.00
loop_
_atom_site_label
_atom_site_fract_x
_atom_site_fract_y
_atom_site_fract_z
Ca1 0.000 0.000 0.000
Tc1 0.000 0.000 0.502
Tc2 0.000 0.500 0.276
Os1 0.000 0.500 0.734

***

Order of stability, best first: b, a

***

a.
# CaTc2Os (GGA-PBE, optimized geometry)
# Crystal system = monoclinic
data_CaTc2Os
_space_group_name_H-M_alt 'C 1 2/m 1'
_space_group_IT_number 12
_space_group_name_Hall '-C 2y'
_cell_length_a 10.428
_cell_length_b 2.872
_cell_length_c 4.889
_cell_angle_alpha 90.00
_cell_angle_beta 108.06
_cell_angle_gamma 90.00
loop_
_atom_site_label
_atom_site_fract_x
_atom_site_fract_y
_atom_site_fract_z
Ca1 0.000 0.000 0.000
Tc1 0.217 0.000 0.700
Os1 0.000 0.500 0.500

***

b.
# CaTc2Os (GGA-PBE, optimized geometry)
# Crystal system = monoclinic
data_CaTc2Os
_space_group_name_H-M_alt 'P 1 2/m 1'
_space_group_IT_number 10
_space_group_name_Hall '-P 2y'
_cell_length_a 2.812
_cell_length_b 4.408
_cell_length_c 5.492
_cell_angle_alpha 90.00
_cell_angle_beta 99.43
_cell_angle_gamma 90.00
loop_
_atom_site_label
_atom_site_fract_x
_atom_site_fract_y
_atom_site_fract_z
Ca1 0.000 0.000 0.000
Tc1 0.259 0.500 0.718
Os1 0.500 0.000 0.500

***

Order of stability, best first: a, b

***

a.
# CaTc2Os (GGA-PBE, optimized geometry)
# Crystal system = tetragonal
data_CaTc2Os
_space_group_name_H-M_alt 'P 4/m m m'
_space_group_IT_number 123
_space_group_name_Hall '-P 4 2'
_cell_length_a 3.242
_cell_length_b 3.242
_cell_length_c 7.071
_cell_angle_alpha 90.00
_cell_angle_beta 90.00
_cell_angle_gamma 90.00
loop_
_atom_site_label
_atom_site_fract_x
_atom_site_fract_y
_atom_site_fract_z
Ca1 0.000 0.000 0.000
Tc1 0.500 0.500 0.319
Os1 0.000 0.000 0.500

***

b.
# CaTc2Os (GGA-PBE, optimized geometry)
# Crystal system = tetragonal
data_CaTc2Os
_space_group_name_H-M_alt 'I -4 2 d'
_space_group_IT_number 122
_space_group_name_Hall 'I -4 2bw'
_cell_length_a 7.483
_cell_length_b 7.483
_cell_length_c 5.581
_cell_angle_alpha 90.00
_cell_angle_beta 90.00
_cell_angle_gamma 90.00
loop_
_atom_site_label
_atom_site_fract_x
_atom_site_fract_y
_atom_site_fract_z
Ca1 0.000 0.000 0.000
Tc1 0.188 0.250 0.625
Os1 0.000 0.000 0.500

***

Order of stability, best first: a, b

***

a.
# CaTc2Os (GGA-PBE, optimized geometry)
# Crystal system = cubic
data_CaTc2Os
_space_group_name_H-M_alt 'F m -3 m'
_space_group_IT_number 225
_space_group_name_Hall '-F 4 2 3'
_cell_length_a 6.356
_cell_length_b 6.356
_cell_length_c 6.356
_cell_angle_alpha 90.00
_cell_angle_beta 90.00
_cell_angle_gamma 90.00
loop_
_atom_site_label
_atom_site_fract_x
_atom_site_fract_y
_atom_site_fract_z
Ca1 0.000 0.000 0.000
Tc1 0.250 0.250 0.250
Os1 0.000 0.000 0.500

***

b.
# CaTc2Os (GGA-PBE, optimized geometry)
# Crystal system = monoclinic
data_CaTc2Os
_space_group_name_H-M_alt 'C 1 m 1'
_space_group_IT_number 8
_space_group_name_Hall 'C -2y'
_cell_length_a 10.275
_cell_length_b 2.936
_cell_length_c 4.964
_cell_angle_alpha 90.00
_cell_angle_beta 113.19
_cell_angle_gamma 90.00
loop_
_atom_site_label
_atom_site_fract_x
_atom_site_fract_y
_atom_site_fract_z
Ca1 0.000 0.000 0.000
Tc1 0.001 0.500 0.486
Tc2 0.216 0.000 0.753
Os1 0.277 0.500 0.366

***

c.
# CaTc2Os (GGA-PBE, optimized geometry)
# Crystal system = tetragonal
data_CaTc2Os
_space_group_name_H-M_alt 'P 4 m m'
_space_group_IT_number 99
_space_group_name_Hall 'P 4 -2'
_cell_length_a 2.817
_cell_length_b 2.817
_cell_length_c 8.606
_cell_angle_alpha 90.00
_cell_angle_beta 90.00
_cell_angle_gamma 90.00
loop_
_atom_site_label
_atom_site_fract_x
_atom_site_fract_y
_atom_site_fract_z
Ca1 0.000 0.000 0.000
Tc1 0.000 0.000 0.476
Tc2 0.500 0.500 0.703
Os1 0.500 0.500 0.279

***

d.
# CaTc2Os (GGA-PBE, optimized geometry)
# Crystal system = orthorhombic
data_CaTc2Os
_space_group_name_H-M_alt 'I m m m'
_space_group_IT_number 71
_space_group_name_Hall '-I 2 2'
_cell_length_a 2.854
_cell_length_b 4.798
_cell_length_c 10.138
_cell_angle_alpha 90.00
_cell_angle_beta 90.00
_cell_angle_gamma 90.00
loop_
_atom_site_label
_atom_site_fract_x
_atom_site_fract_y
_atom_site_fract_z
Ca1 0.000 0.000 0.000
Tc1 0.000 0.500 0.214
Os1 0.000 0.000 0.500

***

Order of stability, best first: c, d, b, a

***

a.
# CaTc2Os (GGA-PBE, optimized geometry)
# Crystal system = trigonal
data_CaTc2Os
_space_group_name_H-M_alt 'R -3 m'
_space_group_IT_number 166
_space_group_name_Hall '-R 3 2"'
_cell_length_a 2.8500
_cell_length_b 2.8500
_cell_length_c 28.5456
_cell_angle_alpha 90.00
_cell_angle_beta 90.00
_cell_angle_gamma 120.00
loop_
_atom_site_label
_atom_site_fract_x
_atom_site_fract_y
_atom_site_fract_z
Ca1 0.0000 0.0000 0.0000
Tc1 0.0000 0.0000 0.2405
Os1 0.0000 0.0000 0.5000

***

b.
# CaTc2Os (GGA-PBE, optimized geometry)
# Crystal system = orthorhombic
data_CaTc2Os
_space_group_name_H-M_alt 'C m m m'
_space_group_IT_number 65
_space_group_name_Hall '-C 2 2'
_cell_length_a 5.449
_cell_length_b 9.042
_cell_length_c 2.663
_cell_angle_alpha 90.00
_cell_angle_beta 90.00
_cell_angle_gamma 90.00
loop_
_atom_site_label
_atom_site_fract_x
_atom_site_fract_y
_atom_site_fract_z
Ca1 0.000 0.000 0.000
Tc1 0.250 0.250 0.500
Os1 0.000 0.500 0.000

***

c.
# CaTc2Os (GGA-PBE, optimized geometry)
# Crystal system = tetragonal
data_CaTc2Os
_space_group_name_H-M_alt 'P 4/m m m'
_space_group_IT_number 123
_space_group_name_Hall '-P 4 2'
_cell_length_a 3.940
_cell_length_b 3.940
_cell_length_c 4.307
_cell_angle_alpha 90.00
_cell_angle_beta 90.00
_cell_angle_gamma 90.00
loop_
_atom_site_label
_atom_site_fract_x
_atom_site_fract_y
_atom_site_fract_z
Ca1 0.000 0.000 0.000
Tc1 0.000 0.500 0.500
Os1 0.500 0.500 0.000

***

Order of stability, best first: a, b, c